(A)
DFT (GGA-PBE) results for crystalline ZrSe2SN at its relaxed geometry.

Values from the calculation:
For the density, the calculation gives 5.66 g/cm3. Its space-group type is P4/mmm (123). The total magnetization comes out at 0.00 μB per formula unit.

a b c (Å): 5.0556 5.0556 3.3914
angles (deg): 90.00 90.00 90.00
With the nearest neighbours (Å) after each atom.
Atoms (fractional coordinates):
S 0.0000 0.0000 0.0000  2 N 1.70
Se 0.0000 0.5000 0.0000  2 S 2.53
Se 0.5000 0.0000 0.0000  2 S 2.53
Zr 0.5000 0.5000 0.5000  8 Se 3.04, 2 Zr 3.39
N 0.0000 0.0000 0.5000  2 S 1.70

---

(B)
DFT (GGA-PBE) results for crystalline ZrSe2SN at its relaxed geometry.

Values from the calculation:
For the density, the calculation gives 4.29 g/cm3. Its space-group type is P4/mmm (123). The total magnetization comes out at 0.00 μB per formula unit.

a b c (Å): 5.3211 5.3211 4.0323
angles (deg): 90.00 90.00 90.00
With the nearest neighbours (Å) after each atom.
Atoms (fractional coordinates):
S 0.5000 0.5000 0.5000  8 Se 3.34
Se 0.0000 0.5000 0.0000  2 Zr 2.66
Se 0.5000 0.0000 0.0000  2 Zr 2.66
Zr 0.0000 0.0000 0.0000  2 N 2.02
N 0.0000 0.0000 0.5000  2 Zr 2.02

---

Winner for stability: (B)